This record from Alexandria via LeMat-Bulk describes a relaxed Li2Cd3 crystal. The functional is PBE-GGA.

abc: 4.6257 4.6257 5.6050
angles: 90.00 90.00 120.00
Positions (direct):
Cd  0.6667  0.3333  0.6486
Cd  0.0000  0.0000  0.0000
Cd  0.3333  0.6667  0.3514
Li  0.6667  0.3333  0.1490
Li  0.3333  0.6667  0.8510

Values from the calculation:
The total energy comes out at -1.432 eV/atom. The density of states at the Fermi level is 2.3 states/eV/cell. As for the formation energy: -117.1 meV/atom. The space-group type is P-3m1, No. 164. Its energy above the lowest structure with this stoichiometry is 75 meV/atom.